LiLuRuRh: optimized geometry, PBE.

## Properties
Energy relative to the elements in eV/atom: -0.149

Cell: 4.513 4.513 4.513 Å, 60.00 60.00 60.00°
Each line ends with the local moment (μB).
Fractional positions:
Rh1 0.500 0.500 0.500  -0.63
Li1 0.250 0.250 0.250  0.02
Lu1 0.000 0.000 0.000  0.01
Ru1 0.750 0.750 0.750  -0.93